# 1
Compound: Mn5S6
Source: the Alexandria database
Functional: PBE
Structure: relaxed

Formation energy (no corrections) = -534 meV/atom
Crystal system = monoclinic

abc: 6.1470 10.6358 6.1425
angles: 90.00 109.66 90.00
Space group C2/m (No. 12)
Symmetry-distinct sites (fractional):
Mn (0.0000, 0.0000, 0.0000) x2
Mn (0.0000, 0.1660, 0.5000) x4
Mn (0.0000, 0.3326, 0.0000) x4
S (0.2434, 0.0000, 0.7605) x4
S (0.2445, 0.1708, 0.2494) x8

---

# 2
Compound: Mn4S
Source: the Alexandria database
Functional: PBE
Structure: relaxed

Formation energy (no corrections) = 330 meV/atom
Crystal system = cubic

abc: 4.2938 4.2938 4.2938
angles: 90.00 90.00 90.00
Space group Pm-3m (No. 221)
Symmetry-distinct sites (fractional):
Mn (0.0000, 0.0000, 0.0000) x1
Mn (0.0000, 0.5000, 0.5000) x3
S (0.5000, 0.5000, 0.5000) x1

---

# 3
Compound: Mn5S8
Source: the Alexandria database
Functional: PBE
Structure: relaxed

Formation energy (no corrections) = -549 meV/atom
Crystal system = cubic

abc: 9.7939 9.7939 9.7939
angles: 90.00 90.00 90.00
Space group F-43m (No. 216)
Symmetry-distinct sites (fractional):
Mn (0.0000, 0.0000, 0.0000) x4
Mn (0.1196, 0.1196, 0.6196) x16
S (0.1160, 0.1160, 0.3840) x16
S (0.1361, 0.1361, 0.8639) x16

---

# 4
Compound: MnSbS2
Source: the Alexandria database
Functional: PBE
Structure: relaxed

Formation energy (no corrections) = 25 meV/atom
Crystal system = tetragonal

abc: 6.0313 6.0313 9.4059
angles: 90.00 90.00 90.00
Space group I-42d (No. 122)
Symmetry-distinct sites (fractional):
Mn (0.0000, 0.0000, 0.0000) x4
Sb (0.0000, 0.0000, 0.5000) x4
S (0.1574, 0.2500, 0.1250) x8

---

# 5
Compound: Mn2SbS
Source: the Alexandria database
Functional: PBE
Structure: relaxed

Formation energy (no corrections) = -12 meV/atom
Crystal system = tetragonal

abc: 6.1832 6.1832 10.2949
angles: 90.00 90.00 90.00
Space group I-42d (No. 122)
Symmetry-distinct sites (fractional):
Mn (0.2095, 0.2500, 0.1250) x8
Sb (0.0000, 0.0000, 0.5000) x4
S (0.0000, 0.0000, 0.0000) x4

---

# 6
Compound: MnSb3S6
Source: the Alexandria database
Functional: PBE
Structure: relaxed

Formation energy (no corrections) = -54 meV/atom
Crystal system = orthorhombic

abc: 10.3511 13.4712 3.6663
angles: 90.00 90.00 90.00
Space group Cmmm (No. 65)
Symmetry-distinct sites (fractional):
Mn (0.0000, 0.0000, 0.0000) x2
Sb (0.0000, 0.5000, 0.0000) x2
Sb (0.2500, 0.2500, 0.5000) x4
S (0.0000, 0.1225, 0.5000) x4
S (0.1967, 0.3801, 0.0000) x8

---

# 7
Compound: MnSb3S
Source: the Alexandria database
Functional: PBE
Structure: relaxed

Excess energy over the best structure of this formula in the dataset = 0.832 eV/atom
Formation energy (no corrections) = 1197 meV/atom
Crystal system = cubic

abc: 5.1182 5.1182 5.1182
angles: 90.00 90.00 90.00
Space group Pm-3m (No. 221)
Symmetry-distinct sites (fractional):
Mn (0.0000, 0.0000, 0.0000) x1
Sb (0.0000, 0.5000, 0.5000) x3
S (0.5000, 0.5000, 0.5000) x1

---

# 8
Compound: Mn2SbS6
Source: the Alexandria database
Functional: PBE
Structure: relaxed

Excess energy over the best structure of this formula in the dataset = 0.000 eV/atom
Formation energy (no corrections) = -414 meV/atom
Crystal system = monoclinic

abc: 16.3492 3.4762 7.8292
angles: 90.00 110.67 90.00
Space group C2/m (No. 12)
Symmetry-distinct sites (fractional):
Mn (0.1694, 0.0000, 0.3426) x4
Sb (0.0000, 0.5000, 0.0000) x2
S (0.0171, 0.0000, 0.2533) x4
S (0.1675, 0.5000, 0.1346) x4
S (0.1790, 0.5000, 0.5516) x4

---

# 9
Compound: Mn5Sb3S12
Source: the Alexandria database
Functional: PBE
Structure: relaxed

Formation energy (no corrections) = -317 meV/atom
Crystal system = cubic

abc: 14.9616 14.9616 14.9616
angles: 90.00 90.00 90.00
Space group Ia-3d (No. 230)
Symmetry-distinct sites (fractional):
Mn (0.0000, 0.0000, 0.0000) x16
Mn (0.0000, 0.2500, 0.3750) x24
Sb (0.0000, 0.2500, 0.1250) x24
S (0.0266, 0.0561, 0.6483) x96

---

# 10
Compound: MnSb2S
Source: the Alexandria database
Functional: PBE
Structure: relaxed

Formation energy (no corrections) = 475 meV/atom
Crystal system = tetragonal

abc: 6.0160 6.0160 11.6675
angles: 90.00 90.00 90.00
Space group I-42d (No. 122)
Symmetry-distinct sites (fractional):
Mn (0.0000, 0.0000, 0.0000) x4
Sb (0.2064, 0.2500, 0.1250) x8
S (0.0000, 0.0000, 0.5000) x4

---

# 11
Compound: Mn3SbS
Source: the Alexandria database
Functional: PBE
Structure: relaxed

Excess energy over the best structure of this formula in the dataset = 0.000 eV/atom
Formation energy (no corrections) = 172 meV/atom
Crystal system = cubic

abc: 4.3432 4.3432 4.3432
angles: 90.00 90.00 90.00
Space group Pm-3m (No. 221)
Symmetry-distinct sites (fractional):
Mn (0.0000, 0.0000, 0.5000) x3
Sb (0.5000, 0.5000, 0.5000) x1
S (0.0000, 0.0000, 0.0000) x1

---

# 12
Compound: MnSbS2
Source: the Alexandria database
Functional: PBE
Structure: relaxed

Formation energy (no corrections) = -358 meV/atom
Crystal system = trigonal

abc: 3.3613 3.3613 24.2728
angles: 90.00 90.00 120.00
Space group R-3m (No. 166, hexagonal axes)
Symmetry-distinct sites (fractional):
Mn (0.0000, 0.0000, 0.0000) x3
Sb (0.0000, 0.0000, 0.5000) x3
S (0.0000, 0.0000, 0.3862) x6